First-principles (GGA-PBE) data for an optimized crystal structure of LiTcP, as listed in Alexandria via LeMat-Bulk.

Calculated values
Energy of formation from the pure elements = -0.5371 eV per atom
Size of the total moment = 0.51 μB/cell
Energy above the most stable polymorph in this dataset = 0.000 eV/atom

Cell: 3.894 3.894 6.203 Å, 90.00 90.00 90.00°
Element x y z (fractional)
1 Li 0.000 0.500 0.854
2 Li 0.500 0.000 0.146
3 Tc 0.000 0.000 0.500
4 Tc 0.500 0.500 0.500
5 P 0.000 0.500 0.270
6 P 0.500 0.000 0.730